A plane-wave DFT calculation with PBE was carried out for an optimized crystal structure of Be2CdSi.

Cell lengths 2.7821, 3.4274, 5.7127 Å; angles 90.00, 90.00, 90.00 degrees
With the nearest neighbours (Å) after each atom.
Positions (direct):
Be 0.0000 0.0000 0.5638  1 Be 2.13
Be 0.0000 0.0000 0.9362  1 Be 2.13
Cd 0.5000 0.5000 0.2500  2 Cd 2.78, 8 Be 2.84, 2 Si 2.86
Si 0.5000 0.5000 0.7500  8 Be 2.45

Values from the calculation:
- E above lowest polymorph: 4.18 kJ/mol of atoms
- Space-group type: Pmmm (47)
- Formation energy without anion corrections: 173.3 kJ/mol of formula units
- D(E_F): 1.371 states/eV per cell
- M_tot: 0.00 μB/atom